(one)
The following is a DFT calculation (GGA-PBE) of ZnFeBiW after structural relaxation.

a b c (Å): 6.4861 6.4861 6.4861
angles (deg): 90.00 90.00 90.00
Space group F-43m (No. 216)
Unique sites:
Zn 0.0000 0.0000 0.0000 x4
Fe 0.0000 0.0000 0.5000 x4
Bi 0.2500 0.2500 0.2500 x4
W 0.2500 0.2500 0.7500 x4

Output
**Crystal system**: cubic
**Total moment**: 7.13 μB/cell

=====

(two)
The following is a DFT calculation (GGA-PBE) of ZnFeBiW after structural relaxation.

a b c (Å): 6.4605 6.4605 6.4605
angles (deg): 90.00 90.00 90.00
Space group F-43m (No. 216)
Unique sites:
Zn 0.0000 0.0000 0.0000 x4
Fe 0.2500 0.2500 0.7500 x4
Bi 0.0000 0.0000 0.5000 x4
W 0.2500 0.2500 0.2500 x4

Output
**Crystal system**: cubic
**Total moment**: 8.75 μB/cell

=====

(two) is favored, and the nearest alternative lies 0.031 eV/atom above it.